The following is a DFT calculation (PBEsol) of a relaxed Li2AlSnBr crystal.

Computed properties:
magnetic moment: 0.00 μB per cell
total DFT energy (no corrections): -12.3 eV/f.u.
E_form (uncorrected): 176 kJ/mol of formula units

a = 5.0307 Å, b = 5.0307 Å, c = 5.2841 Å
α = 90.00°, β = 90.00°, γ = 90.00°
Atoms (fractional coordinates):
Li  0.0000  0.5000  0.0000
Li  0.5000  0.0000  0.0000
Sn  0.5000  0.5000  0.5000
Br  0.0000  0.0000  0.5000
Al  0.0000  0.0000  0.0000